Entry 1:
{
  "formula": "La3Tb6Pr",
  "functional": "PBE-GGA",
  "state": "relaxed",
  "lattice_angstrom": [[6.823, -7.600, 0.000], [6.823, 7.600, 0.000], [0.000, 0.000, 6.705]],
  "species": ["La", "La", "La", "La", "La", "La", "Tb", "Tb", "Tb", "Tb", "Tb", "Tb", "Tb", "Tb", "Tb", "Tb", "Tb", "Tb", "Pr", "Pr"],
  "frac_coords": [[0.113, 0.887, 0.500], [0.247, 0.354, 0.794], [0.354, 0.247, 0.294], [0.646, 0.753, 0.794], [0.753, 0.646, 0.294], [0.887, 0.113, 0.000], [0.031, 0.206, 0.499], [0.047, 0.464, 0.169], [0.206, 0.031, 0.999], [0.275, 0.725, 0.900], [0.464, 0.047, 0.669], [0.474, 0.526, 0.101], [0.526, 0.474, 0.601], [0.536, 0.953, 0.169], [0.725, 0.275, 0.400], [0.794, 0.969, 0.499], [0.953, 0.536, 0.669], [0.969, 0.794, 0.999], [0.321, 0.679, 0.410], [0.679, 0.321, 0.910]],
  "ef_ev_per_atom": 0.2129,
  "m_tot_mub_per_fu": 0.000,
  "final_energy_ev_per_atom": -4.52,
  "mass_density_g_cm3": 7.22
}



Entry 2:
{
  "formula": "YEr2Tm3Sb6",
  "functional": "PBE-GGA",
  "state": "relaxed",
  "lattice_angstrom": [[9.482, -2.175, 0.000], [9.482, 2.175, 0.000], [-1.986, 0.000, 8.474]],
  "species": ["Y", "Er", "Er", "Tm", "Tm", "Tm", "Sb", "Sb", "Sb", "Sb", "Sb", "Sb"],
  "frac_coords": [[0.000, 0.000, 0.000], [0.333, 0.333, 0.667], [0.667, 0.667, 0.333], [0.000, 0.000, 0.500], [0.334, 0.334, 0.167], [0.666, 0.666, 0.833], [0.166, 0.166, 0.584], [0.168, 0.168, 0.083], [0.500, 0.500, 0.253], [0.500, 0.500, 0.747], [0.832, 0.832, 0.917], [0.834, 0.834, 0.416]],
  "e_form_raw_ev_per_atom": -1.09,
  "m_tot_mub_per_fu": 0.024,
  "final_energy_ev_per_atom": -5.57,
  "mass_density_g_cm3": 7.89
}



Entry 3:
{
  "formula": "AlPO2",
  "functional": "PBE-GGA",
  "state": "relaxed",
  "lattice_angstrom": [[1.411, 0.814, 5.995], [-1.411, 0.814, 5.995], [0.000, -1.629, 5.995]],
  "species": ["Al", "P", "O", "O"],
  "frac_coords": [[0.000, 0.000, 0.000], [0.500, 0.500, 0.500], [0.388, 0.388, 0.388], [0.612, 0.612, 0.612]],
  "e_form_raw_ev_per_atom": -1.87,
  "m_tot_mub_per_fu": 0.000,
  "final_energy_ev_per_atom": -6.64,
  "polymorph_energy_mev_per_atom": 0.0,
  "mass_density_g_cm3": 3.61
}



Entry 4:
{
  "formula": "BaHf2PbC",
  "functional": "PBE-GGA",
  "state": "relaxed",
  "lattice_angstrom": [[5.375, 0.000, 0.000], [0.000, 5.375, 0.000], [0.000, 0.000, 6.494]],
  "species": ["Ba", "Hf", "Hf", "Pb", "C"],
  "frac_coords": [[0.000, 0.000, 0.000], [0.000, 0.500, 0.500], [0.500, 0.000, 0.500], [0.000, 0.000, 0.500], [0.500, 0.500, 0.000]],
  "ef_ev_per_atom": 2.2611,
  "m_tot_mub_per_fu": 0.000,
  "final_energy_ev_per_atom": -4.69,
  "mass_density_g_cm3": 6.31
}



Entry 5:
{
  "formula": "HfCd",
  "functional": "PBE-GGA",
  "state": "relaxed",
  "lattice_angstrom": [[0.000, 3.540, 3.540], [3.540, 0.000, 3.540], [3.540, 3.540, 0.000]],
  "species": ["Hf", "Hf", "Cd", "Cd"],
  "frac_coords": [[0.125, 0.125, 0.125], [0.875, 0.875, 0.875], [0.375, 0.375, 0.375], [0.625, 0.625, 0.625]],
  "ef_ev_per_atom": 0.3282,
  "m_tot_mub_per_fu": 1.058,
  "final_energy_ev_per_atom": -5.11,
  "mass_density_g_cm3": 10.89
}



Entry 6:
{
  "formula": "LiCeAl4",
  "functional": "PBE-GGA",
  "state": "relaxed",
  "lattice_angstrom": [[0.000, 3.912, 3.912], [3.912, 0.000, 3.912], [3.912, 3.912, 0.000]],
  "species": ["Li", "Ce", "Al", "Al", "Al", "Al"],
  "frac_coords": [[0.000, 0.000, 0.000], [0.750, 0.750, 0.750], [0.376, 0.376, 0.376], [0.376, 0.376, 0.873], [0.376, 0.873, 0.376], [0.873, 0.376, 0.376]],
  "ef_ev_per_atom": -0.2211,
  "m_tot_mub_per_fu": 0.784,
  "final_energy_ev_per_atom": -4.02,
  "mass_density_g_cm3": 3.53
}



Entry 7:
{
  "formula": "TiTeRuN2",
  "functional": "PBE-GGA",
  "state": "relaxed",
  "lattice_angstrom": [[3.876, 0.000, 0.000], [0.000, 3.876, 0.000], [0.000, 0.000, 5.813]],
  "species": ["Ti", "Te", "Ru", "N", "N"],
  "frac_coords": [[0.000, 0.000, 0.000], [0.000, 0.000, 0.500], [0.500, 0.500, 0.500], [0.000, 0.500, 0.000], [0.500, 0.000, 0.000]],
  "e_form_raw_ev_per_atom": 0.79,
  "m_tot_mub_per_fu": 2.048,
  "final_energy_ev_per_atom": -6.60,
  "polymorph_energy_mev_per_atom": 9.5,
  "mass_density_g_cm3": 5.79
}



Entry 8:
{
  "formula": "TlZnAgCl4",
  "functional": "PBE-GGA",
  "state": "relaxed",
  "lattice_angstrom": [[6.538, 0.000, 0.000], [0.000, 7.282, 0.000], [-2.152, 0.000, 8.305]],
  "species": ["Tl", "Tl", "Zn", "Zn", "Ag", "Ag", "Cl", "Cl", "Cl", "Cl", "Cl", "Cl", "Cl", "Cl"],
  "frac_coords": [[0.242, 0.250, 0.051], [0.758, 0.750, 0.949], [0.235, 0.750, 0.315], [0.765, 0.250, 0.685], [0.166, 0.250, 0.522], [0.834, 0.750, 0.478], [0.012, 0.011, 0.715], [0.012, 0.489, 0.715], [0.354, 0.750, 0.089], [0.475, 0.750, 0.554], [0.525, 0.250, 0.446], [0.646, 0.250, 0.911], [0.988, 0.511, 0.285], [0.988, 0.989, 0.285]],
  "e_form_raw_ev_per_atom": -0.90,
  "m_tot_mub_per_fu": 0.000,
  "final_energy_ev_per_atom": -2.89,
  "mass_density_g_cm3": 4.36
}